(1)
## Mn2Ni2P (PBE)

Data for an optimized crystal structure of Mn2Ni2P.

a = 3.206 Å, b = 3.206 Å, c = 13.102 Å
α = 90.00°, β = 90.00°, γ = 90.00°
Sites, in units of the cell vectors:
Mn: 0.000 0.000 0.101
Mn: 0.000 0.000 0.899
Mn: 0.500 0.500 0.399
Mn: 0.500 0.500 0.601
Ni: 0.000 0.500 0.250
Ni: 0.000 0.500 0.750
Ni: 0.500 0.000 0.250
Ni: 0.500 0.000 0.750
P: 0.000 0.000 0.500
P: 0.500 0.500 0.000

Uncorrected energy   -0.251 Ha/atom
Theoretical density   6.4 g cm⁻³
Energy relative to the elements   0.234 eV per atom
Energy above the lowest structure with this stoichiometry   0.2252 eV/atom

***

(2)
## Y2HfSb3 (PBE)

Data for an optimized crystal structure of Y2HfSb3.

a = 4.288 Å, b = 4.288 Å, c = 18.150 Å
α = 90.00°, β = 90.00°, γ = 90.00°
Sites, in units of the cell vectors:
Y: 0.000 0.000 0.169
Y: 0.000 0.000 0.831
Y: 0.500 0.500 0.331
Y: 0.500 0.500 0.669
Hf: 0.000 0.000 0.500
Hf: 0.500 0.500 0.000
Sb: 0.000 0.000 0.000
Sb: 0.000 0.000 0.339
Sb: 0.000 0.000 0.661
Sb: 0.500 0.500 0.161
Sb: 0.500 0.500 0.500
Sb: 0.500 0.500 0.839

Uncorrected energy   -0.248 Ha/atom
Theoretical density   7.2 g cm⁻³
Raw formation energy   -0.866 eV per atom

***

(3)
## Rb2NpUS4 (PBE)

Data for an optimized crystal structure of Rb2NpUS4.

a = 7.087 Å, b = 4.092 Å, c = 8.064 Å
α = 90.00°, β = 107.01°, γ = 90.00°
Sites, in units of the cell vectors:
Rb: 0.000 0.000 0.000
Rb: 0.500 0.500 0.000
Np: 0.000 0.500 0.500
U: 0.500 0.000 0.500
S: 0.233 0.000 0.692
S: 0.272 0.500 0.308
S: 0.728 0.500 0.692
S: 0.767 0.000 0.308

Uncorrected energy   -0.246 Ha/atom
Theoretical density   5.7 g cm⁻³
Raw formation energy   -1.365 eV per atom

***

(4)
## Na3HfIn (PBE)

Data for an optimized crystal structure of Na3HfIn.

a = 5.617 Å, b = 5.617 Å, c = 5.617 Å
α = 90.00°, β = 90.00°, γ = 90.00°
Sites, in units of the cell vectors:
Na: 0.000 0.000 0.500
Na: 0.000 0.500 0.000
Na: 0.500 0.000 0.000
Hf: 0.500 0.500 0.500
In: 0.000 0.000 0.000

Uncorrected energy   -0.083 Ha/atom
Theoretical density   3.4 g cm⁻³
Energy relative to the elements   1.061 eV per atom
Energy above the lowest structure with this stoichiometry   0.0000 eV/atom

***

(5)
## CaTlTe2 (PBE)

Data for an optimized crystal structure of CaTlTe2.

a = 7.911 Å, b = 7.911 Å, c = 7.911 Å
α = 90.00°, β = 90.00°, γ = 90.00°
Sites, in units of the cell vectors:
Ca: 0.000 0.000 0.000
Ca: 0.000 0.500 0.500
Ca: 0.500 0.000 0.500
Ca: 0.500 0.500 0.000
Tl: 0.250 0.250 0.750
Tl: 0.250 0.750 0.250
Tl: 0.750 0.250 0.250
Tl: 0.750 0.750 0.750
Te: 0.000 0.000 0.500
Te: 0.000 0.500 0.000
Te: 0.250 0.250 0.250
Te: 0.250 0.750 0.750
Te: 0.500 0.000 0.000
Te: 0.500 0.500 0.500
Te: 0.750 0.250 0.750
Te: 0.750 0.750 0.250

Uncorrected energy   -0.113 Ha/atom
Theoretical density   6.7 g cm⁻³
Raw formation energy   -0.410 eV per atom

***

(6)
## Cs2Sr2Rh (PBE)

Data for an optimized crystal structure of Cs2Sr2Rh.

a = 8.165 Å, b = 8.165 Å, c = 7.739 Å
α = 90.00°, β = 90.00°, γ = 90.00°
Sites, in units of the cell vectors:
Cs: 0.193 0.307 0.000
Cs: 0.307 0.807 0.000
Cs: 0.693 0.193 0.000
Cs: 0.807 0.693 0.000
Sr: 0.187 0.687 0.500
Sr: 0.313 0.187 0.500
Sr: 0.687 0.813 0.500
Sr: 0.813 0.313 0.500
Rh: 0.000 0.000 0.500
Rh: 0.500 0.500 0.500

Uncorrected energy   -0.084 Ha/atom
Theoretical density   3.5 g cm⁻³
Energy relative to the elements   0.205 eV per atom

***

(7)
## Sr4TlHg3 (PBE)

Data for an optimized crystal structure of Sr4TlHg3.

a = 4.288 Å, b = 5.232 Å, c = 12.353 Å
α = 90.00°, β = 90.00°, γ = 90.00°
Sites, in units of the cell vectors:
Sr: 0.000 0.000 0.000
Sr: 0.000 0.500 0.276
Sr: 0.500 0.000 0.494
Sr: 0.500 0.500 0.778
Tl: 0.000 0.000 0.718
Hg: 0.000 0.500 0.555
Hg: 0.500 0.000 0.218
Hg: 0.500 0.500 0.057

Uncorrected energy   -0.063 Ha/atom
Theoretical density   6.9 g cm⁻³
Energy relative to the elements   -0.467 eV per atom
Energy above the lowest structure with this stoichiometry   0.0444 eV/atom

***

(8)
## BeTePd (PBE)

Data for an optimized crystal structure of BeTePd.

a = 4.752 Å, b = 4.752 Å, c = 5.509 Å
α = 90.00°, β = 90.00°, γ = 120.00°
Sites, in units of the cell vectors:
Be: 0.000 0.000 0.000
Be: 0.000 0.000 0.500
Te: 0.333 0.667 0.250
Te: 0.667 0.333 0.750
Pd: 0.333 0.667 0.750
Pd: 0.667 0.333 0.250

Uncorrected energy   -0.136 Ha/atom
Theoretical density   7.5 g cm⁻³
Raw formation energy   0.314 eV per atom

***

(9)
## Tb2MgSc (PBE)

Data for an optimized crystal structure of Tb2MgSc.

a = 3.587 Å, b = 3.587 Å, c = 8.730 Å
α = 90.00°, β = 90.00°, γ = 90.00°
Sites, in units of the cell vectors:
Tb: 0.000 0.000 0.250
Tb: 0.000 0.000 0.750
Mg: 0.500 0.500 0.000
Sc: 0.500 0.500 0.500

Uncorrected energy   -0.158 Ha/atom
Theoretical density   5.7 g cm⁻³
Energy relative to the elements   -0.009 eV per atom
Energy above the lowest structure with this stoichiometry   0.0000 eV/atom

***

(10)
## Hf2NbZn3 (PBE)

Data for an optimized crystal structure of Hf2NbZn3.

a = 3.422 Å, b = 3.422 Å, c = 8.959 Å
α = 90.00°, β = 90.00°, γ = 90.00°
Sites, in units of the cell vectors:
Hf: 0.000 0.000 0.176
Hf: 0.000 0.000 0.824
Nb: 0.000 0.000 0.500
Zn: 0.500 0.500 0.000
Zn: 0.500 0.500 0.345
Zn: 0.500 0.500 0.655

Uncorrected energy   -0.211 Ha/atom
Theoretical density   10.2 g cm⁻³
Energy relative to the elements   -0.099 eV per atom

***

(11)
## Pr6DyTm12 (PBE)

Data for an optimized crystal structure of Pr6DyTm12.

a = 8.706 Å, b = 8.706 Å, c = 8.706 Å
α = 98.73°, β = 98.73°, γ = 98.73°
Sites, in units of the cell vectors:
Pr: 0.156 0.599 0.599
Pr: 0.401 0.401 0.844
Pr: 0.401 0.844 0.401
Pr: 0.599 0.156 0.599
Pr: 0.599 0.599 0.156
Pr: 0.844 0.401 0.401
Dy: 0.500 0.500 0.500
Tm: 0.000 0.255 0.745
Tm: 0.000 0.745 0.255
Tm: 0.145 0.145 0.420
Tm: 0.145 0.420 0.145
Tm: 0.255 0.000 0.745
Tm: 0.255 0.745 0.000
Tm: 0.420 0.145 0.145
Tm: 0.580 0.855 0.855
Tm: 0.745 0.000 0.255
Tm: 0.745 0.255 0.000
Tm: 0.855 0.580 0.855
Tm: 0.855 0.855 0.580

Uncorrected energy   -0.160 Ha/atom
Theoretical density   7.9 g cm⁻³
Energy relative to the elements   0.224 eV per atom
Energy above the lowest structure with this stoichiometry   0.0000 eV/atom

***

(12)
## CaSeIBr2 (PBE)

Data for an optimized crystal structure of CaSeIBr2.

a = 5.615 Å, b = 5.615 Å, c = 5.957 Å
α = 90.00°, β = 90.00°, γ = 90.00°
Sites, in units of the cell vectors:
Ca: 0.000 0.000 0.000
Se: 0.500 0.500 0.000
I: 0.500 0.500 0.500
Br: 0.000 0.500 0.500
Br: 0.500 0.000 0.500

Uncorrected energy   -0.084 Ha/atom
Theoretical density   3.6 g cm⁻³
Raw formation energy   -0.219 eV per atom
Energy above the lowest structure with this stoichiometry   0.3298 eV/atom

***

What is the theoretical density in the third record? 5.7 g cm⁻³